VASP calculation (PBEsol) on an optimized crystal structure of BeRuRh2C.

The structure belongs to space group P4/mmm (No. 123); the cell edges are 4.5455, 4.5455 and 4.0550 Å and the angles 90.00°, 90.00° and 90.00°. The inequivalent atoms are Be at (0.0000, 0.0000, 0.0000), Ru at (0.0000, 0.0000, 0.5000), Rh at (0.0000, 0.5000, 0.5000) and C at (0.5000, 0.5000, 0.0000).

As for the total magnetization: 0.0 μB/cell. The calculation puts the formation energy at 2464 meV/atom. The volume is 16.76 Å³ per atom. The value obtained for the theoretical density is 6.50 g/cm³.

=====

VASP calculation (PBEsol) on an optimized crystal structure of Ta2BeRhC.

The structure belongs to space group P4/mmm (No. 123); the cell edges are 4.5771, 4.5771 and 3.0527 Å and the angles 90.00°, 90.00° and 90.00°. The inequivalent atoms are Ta at (0.0000, 0.5000, 0.0000), Be at (0.0000, 0.0000, 0.0000), Rh at (0.5000, 0.5000, 0.5000) and C at (0.0000, 0.0000, 0.5000).

As for the total magnetization: 0.0 μB/cell. The calculation puts the formation energy at 590 meV/atom. The volume is 12.79 Å³ per atom. The value obtained for the theoretical density is 12.61 g/cm³.

=====

VASP calculation (PBEsol) on an optimized crystal structure of ScBeRu2C.

The structure belongs to space group P4/mmm (No. 123); the cell edges are 4.5815, 4.5815 and 3.9485 Å and the angles 90.00°, 90.00° and 90.00°. The inequivalent atoms are Sc at (0.0000, 0.0000, 0.0000), Be at (0.5000, 0.5000, 0.5000), Ru at (0.0000, 0.5000, 0.0000) and C at (0.0000, 0.0000, 0.5000).

As for the total magnetization: 0.0 μB/cell. The calculation puts the formation energy at 2245 meV/atom. The volume is 16.58 Å³ per atom. The value obtained for the theoretical density is 5.37 g/cm³.

=====

VASP calculation (PBEsol) on an optimized crystal structure of BeC3S.

The structure belongs to space group Pm-3m (No. 221); the cell edges are 3.5269, 3.5269 and 3.5269 Å and the angles 90.00°, 90.00° and 90.00°. The inequivalent atoms are Be at (0.0000, 0.0000, 0.0000), C at (0.0000, 0.5000, 0.5000) and S at (0.5000, 0.5000, 0.5000).

As for the total magnetization: 0.0 μB/cell. The final energy comes out at -0.3635 Ry per atom. The volume is 8.77 Å³ per atom. The value obtained for the theoretical density is 2.92 g/cm³.

=====

VASP calculation (PBEsol) on an optimized crystal structure of BeCSeS2.

The structure belongs to space group P4/mmm (No. 123); the cell edges are 3.7904, 3.7904 and 6.8083 Å and the angles 90.00°, 90.00° and 90.00°. The inequivalent atoms are Be at (0.0000, 0.0000, 0.0000), C at (0.5000, 0.5000, 0.5000), Se at (0.0000, 0.0000, 0.5000) and S at (0.0000, 0.5000, 0.0000).

As for the total magnetization: 0.3 μB/cell. The final energy comes out at -0.2720 Ry per atom. The volume is 19.56 Å³ per atom. The value obtained for the theoretical density is 2.79 g/cm³.

=====

VASP calculation (PBEsol) on an optimized crystal structure of BeTeC2S.

The structure belongs to space group P4/mmm (No. 123); the cell edges are 3.4571, 3.4571 and 7.2121 Å and the angles 90.00°, 90.00° and 90.00°. The inequivalent atoms are Be at (0.0000, 0.0000, 0.0000), Te at (0.5000, 0.5000, 0.0000), C at (0.0000, 0.5000, 0.5000) and S at (0.5000, 0.5000, 0.5000).

As for the total magnetization: 0.0 μB/cell. The final energy comes out at -0.3201 Ry per atom. The volume is 17.24 Å³ per atom. The value obtained for the theoretical density is 3.71 g/cm³.

=====

VASP calculation (PBEsol) on an optimized crystal structure of ScBeSbC2.

The structure belongs to space group P4/mmm (No. 123); the cell edges are 3.8011, 3.8011 and 4.6728 Å and the angles 90.00°, 90.00° and 90.00°. The inequivalent atoms are Sc at (0.0000, 0.0000, 0.0000), Be at (0.0000, 0.0000, 0.5000), Sb at (0.5000, 0.5000, 0.0000) and C at (0.0000, 0.5000, 0.5000).

As for the total magnetization: 0.0 μB/cell. The final energy comes out at -0.4074 Ry per atom. The volume is 13.50 Å³ per atom. The value obtained for the theoretical density is 4.91 g/cm³.

=====

VASP calculation (PBEsol) on an optimized crystal structure of ScBeWC2.

The structure belongs to space group P4/mmm (No. 123); the cell edges are 3.9927, 3.9927 and 5.0195 Å and the angles 90.00°, 90.00° and 90.00°. The inequivalent atoms are Sc at (0.0000, 0.0000, 0.0000), Be at (0.5000, 0.5000, 0.5000), W at (0.0000, 0.0000, 0.5000) and C at (0.0000, 0.5000, 0.0000).

As for the total magnetization: 0.0 μB/cell. The calculation puts the formation energy at 2882 meV/atom. The volume is 16.00 Å³ per atom. The value obtained for the theoretical density is 5.43 g/cm³.